Li2VAsO6 | PBE with a Hubbard U | optimized geometry

Cell: 5.015 5.015 4.730 Å, 90.00 90.00 90.00°
Atoms (fractional coordinates):
Li 0.000 0.500 0.000
Li 0.500 0.000 0.000
V 0.000 0.000 0.655
As 0.500 0.500 0.645
O 0.000 0.000 0.310
O 0.255 0.255 0.777
O 0.255 0.745 0.777
O 0.500 0.500 0.290
O 0.745 0.255 0.777
O 0.745 0.745 0.777

The final energy comes out at -6.198 eV/atom. As for the space group: P4mm (99). The calculation puts the volume at 119.0 Å³/cell. Its calculated density is 3.291 g cm⁻³.